(1)
{"formula": "Cs4H2Br", "functional": "PBE", "state": "optimized geometry", "e_above_lowest_polymorph_mev_per_atom": 0, "space_group": "R-3m, No. 166", "total_magnetization_mub_per_fu": 0.0, "dos_at_fermi_per_ev_cell": 1.71, "mass_density_kg_m3": 3088, "lattice_angstrom": [[-2.679, -1.291, 3.778], [-1.816, -4.444, 0.253], [12.058, -7.004, 9.216]], "species": ["Cs", "Cs", "Cs", "Cs", "H", "H", "Br"], "fractional_positions": [[0.881, 0.881, 0.356], [0.713, 0.713, 0.860], [0.287, 0.287, 0.140], [0.119, 0.119, 0.644], [0.416, 0.416, 0.752], [0.584, 0.584, 0.248], [0.000, 0.000, 0.000]]}

(2)
{"formula": "Na2GaBiO4", "functional": "PBE", "state": "optimized geometry", "space_group": "Pmn2_1, No. 31", "total_magnetization_mub_per_fu": 0.0, "dos_at_fermi_per_ev_cell": 0.00, "raw_formation_energy_mev_per_atom": -1580, "mass_density_kg_m3": 5135, "lattice_angstrom": [[-2.739, -0.804, 4.377], [-4.688, -2.382, -3.371], [3.100, -7.020, 0.650]], "species": ["O", "O", "O", "O", "O", "O", "O", "O", "Na", "Na", "Na", "Na", "Bi", "Bi", "Ga", "Ga"], "fractional_positions": [[0.427, 0.697, 0.293], [0.427, 0.697, 0.707], [0.377, 0.128, 0.500], [0.927, 0.303, 0.793], [0.861, 0.876, 0.500], [0.877, 0.872, 0.000], [0.927, 0.303, 0.207], [0.361, 0.124, 0.000], [0.470, 0.324, 0.758], [0.970, 0.676, 0.258], [0.970, 0.676, 0.742], [0.470, 0.324, 0.242], [0.473, 0.799, 0.000], [0.973, 0.201, 0.500], [0.495, 0.838, 0.500], [0.995, 0.162, 0.000]]}

(3)
{"formula": "Pr3Ho7Er", "functional": "PBE", "state": "optimized geometry", "e_above_lowest_polymorph_mev_per_atom": 0, "space_group": "P-1, No. 2", "total_magnetization_mub_per_fu": 0.0, "dos_at_fermi_per_ev_cell": 17.51, "formation_energy_kj_per_mol_fu": 132, "mass_density_kg_m3": 7954, "lattice_angstrom": [[6.631, -0.568, 0.801], [-0.185, 6.425, 1.042], [0.393, -0.124, 8.601]], "species": ["Er", "Pr", "Pr", "Pr", "Ho", "Ho", "Ho", "Ho", "Ho", "Ho", "Ho"], "fractional_positions": [[0.500, 0.500, 0.500], [0.938, 0.804, 0.166], [0.062, 0.196, 0.834], [0.500, 0.000, 0.000], [0.709, 0.563, 0.854], [0.774, 0.282, 0.213], [0.269, 0.012, 0.421], [0.731, 0.988, 0.579], [0.291, 0.437, 0.146], [0.226, 0.718, 0.787], [0.000, 0.500, 0.500]]}

(4)
{"formula": "CrW2N3", "functional": "PBE", "state": "optimized geometry", "space_group": "Immm, No. 71", "total_magnetization_mub_per_fu": 0.0, "dos_at_fermi_per_ev_cell": 2.70, "raw_formation_energy_mev_per_atom": 74, "mass_density_kg_m3": 12954, "lattice_angstrom": [[-1.402, 1.849, 5.709], [1.402, -1.849, 5.709], [1.402, 1.849, -5.709]], "species": ["W", "W", "Cr", "N", "N", "N"], "fractional_positions": [[0.645, 0.645, 0.000], [0.355, 0.355, 0.000], [0.000, 0.000, 0.000], [0.175, 0.175, 0.000], [0.500, 0.000, 0.500], [0.825, 0.825, 0.000]]}

(5)
{"formula": "BaSrRu2", "functional": "PBE", "state": "optimized geometry", "e_above_lowest_polymorph_mev_per_atom": 748, "space_group": "Fm-3m, No. 225", "total_magnetization_mub_per_fu": 0.9, "dos_at_fermi_per_ev_cell": 7.76, "formation_energy_kj_per_mol_fu": 360, "mass_density_kg_m3": 7190, "lattice_angstrom": [[-1.609, 2.688, 4.133], [-4.963, 1.458, 0.374], [-3.103, -2.238, 3.501]], "species": ["Ru", "Ru", "Sr", "Ba"], "fractional_positions": [[0.250, 0.250, 0.250], [0.750, 0.750, 0.750], [0.000, 0.000, 0.000], [0.500, 0.500, 0.500]]}

(6)
{"formula": "Mg4Pb7", "functional": "PBE", "state": "optimized geometry", "space_group": "P-6m2, No. 187", "total_magnetization_mub_per_fu": 0.0, "dos_at_fermi_per_ev_cell": 3.90, "formation_energy_kj_per_mol_fu": -4, "mass_density_kg_m3": 8216, "lattice_angstrom": [[-1.932, -2.091, 2.057], [-4.287, -4.121, -8.215], [8.469, -4.028, 3.860]], "species": ["Pb", "Pb", "Pb", "Pb", "Pb", "Pb", "Pb", "Mg", "Mg", "Mg", "Mg"], "fractional_positions": [[0.000, 0.533, 0.066], [0.500, 0.632, 0.816], [0.000, 0.000, 0.000], [0.500, 0.184, 0.816], [0.500, 0.184, 0.368], [0.000, 0.934, 0.467], [0.000, 0.533, 0.467], [0.000, 0.333, 0.667], [0.500, 0.334, 0.167], [0.500, 0.833, 0.167], [0.500, 0.833, 0.666]]}

(7)
{"formula": "CsRb6S", "functional": "PBE", "state": "optimized geometry", "space_group": "C2/m, No. 12", "total_magnetization_mub_per_fu": 0.0, "dos_at_fermi_per_ev_cell": 5.78, "raw_formation_energy_mev_per_atom": -335, "mass_density_kg_m3": 1719, "lattice_angstrom": [[-8.173, 8.354, 4.140], [-0.908, -8.361, 2.728], [8.546, 1.332, 1.834]], "species": ["Rb", "Rb", "Rb", "Rb", "Rb", "Rb", "Cs", "S"], "fractional_positions": [[0.086, 0.345, 0.345], [0.742, 0.001, 0.657], [0.914, 0.655, 0.655], [0.258, 0.343, 0.999], [0.258, 0.999, 0.343], [0.742, 0.657, 0.001], [0.500, 0.000, 0.000], [0.000, 0.000, 0.000]]}

(8)
{"formula": "ErScPb", "functional": "PBE", "state": "optimized geometry", "e_above_lowest_polymorph_mev_per_atom": 296, "space_group": "R-3m, No. 166", "total_magnetization_mub_per_fu": 0.8, "dos_at_fermi_per_ev_cell": 6.91, "formation_energy_kj_per_mol_fu": -41, "mass_density_kg_m3": 7793, "lattice_angstrom": [[5.017, 0.000, 0.000], [2.508, 4.344, 0.000], [2.508, 1.448, 8.201]], "species": ["Pb", "Pb", "Er", "Er", "Sc", "Sc"], "fractional_positions": [[0.746, 0.746, 0.761], [0.254, 0.254, 0.239], [0.124, 0.124, 0.627], [0.876, 0.876, 0.373], [0.375, 0.375, 0.876], [0.625, 0.625, 0.124]]}

(9)
{"formula": "Rb2GeBiBr6", "functional": "PBE", "state": "optimized geometry", "space_group": "I4/mmm, No. 139", "total_magnetization_mub_per_fu": 0.0, "dos_at_fermi_per_ev_cell": 4.88, "raw_formation_energy_mev_per_atom": -1003, "mass_density_kg_m3": 4092, "lattice_angstrom": [[-1.629, -7.265, -3.201], [7.882, -1.091, -1.534], [3.798, -6.609, 2.809]], "species": ["Bi", "Br", "Br", "Br", "Br", "Br", "Br", "Rb", "Rb", "Ge"], "fractional_positions": [[0.000, 0.000, 0.000], [0.256, 0.256, 0.000], [0.744, 0.744, 0.000], [0.256, 0.256, 0.488], [0.744, 0.256, 0.000], [0.744, 0.744, 0.512], [0.256, 0.744, 0.000], [0.750, 0.250, 0.500], [0.250, 0.750, 0.500], [0.500, 0.500, 0.000]]}

(10)
{"formula": "Ba2ZrBi5", "functional": "PBE", "state": "optimized geometry", "space_group": "Cm, No. 8", "total_magnetization_mub_per_fu": 0.0, "dos_at_fermi_per_ev_cell": 3.92, "formation_energy_kj_per_mol_fu": -290, "mass_density_kg_m3": 7693, "lattice_angstrom": [[7.675, 0.019, 0.007], [0.019, 7.675, 0.007], [-3.842, -3.842, 5.163]], "species": ["Zr", "Bi", "Bi", "Bi", "Bi", "Bi", "Ba", "Ba"], "fractional_positions": [[0.016, 0.016, 0.032], [0.734, 0.734, 0.007], [0.732, 0.274, 0.006], [0.274, 0.732, 0.006], [0.731, 0.731, 0.463], [0.273, 0.273, 0.007], [0.258, 0.758, 0.516], [0.758, 0.258, 0.516]]}

(11)
{"formula": "Sm6Y2ErTm", "functional": "PBE", "state": "optimized geometry", "space_group": "C2/c, No. 15", "total_magnetization_mub_per_fu": 0.0, "dos_at_fermi_per_ev_cell": 27.97, "formation_energy_kj_per_mol_fu": 117, "mass_density_kg_m3": 7083, "lattice_angstrom": [[-8.714, 2.563, 2.893], [-1.619, 2.070, -8.497], [-1.089, -8.482, 2.446]], "species": ["Sm", "Sm", "Sm", "Sm", "Sm", "Sm", "Sm", "Sm", "Sm", "Sm", "Sm", "Sm", "Y", "Y", "Y", "Y", "Tm", "Tm", "Er", "Er"], "fractional_positions": [[0.444, 0.239, 0.880], [0.812, 0.435, 0.989], [0.882, 0.291, 0.512], [0.618, 0.488, 0.709], [0.188, 0.565, 0.011], [0.382, 0.512, 0.291], [0.056, 0.120, 0.761], [0.944, 0.880, 0.239], [0.688, 0.011, 0.565], [0.118, 0.709, 0.488], [0.556, 0.761, 0.120], [0.312, 0.989, 0.435], [0.454, 0.798, 0.700], [0.954, 0.700, 0.798], [0.546, 0.202, 0.300], [0.046, 0.300, 0.202], [0.250, 0.411, 0.589], [0.750, 0.589, 0.411], [0.750, 0.028, 0.972], [0.250, 0.972, 0.028]]}

(12)
{"formula": "SmHoOsAu", "functional": "PBE", "state": "optimized geometry", "space_group": "F-43m, No. 216", "total_magnetization_mub_per_fu": 0.0, "dos_at_fermi_per_ev_cell": 2.47, "formation_energy_kj_per_mol_fu": -163, "mass_density_kg_m3": 13307, "lattice_angstrom": [[4.986, 0.000, 0.000], [2.493, 4.318, 0.000], [2.493, 1.439, 4.071]], "species": ["Au", "Os", "Ho", "Sm"], "fractional_positions": [[0.500, 0.500, 0.500], [0.000, 0.000, 0.000], [0.750, 0.750, 0.750], [0.250, 0.250, 0.250]]}

(13)
{"formula": "Ho2TiAs3Rh4", "functional": "PBE", "state": "optimized geometry", "space_group": "P-4m2, No. 115", "total_magnetization_mub_per_fu": 0.0, "dos_at_fermi_per_ev_cell": 6.21, "formation_energy_kj_per_mol_fu": -912, "mass_density_kg_m3": 9477, "lattice_angstrom": [[-3.153, 2.299, 1.019], [-2.354, -2.124, -2.493], [-2.396, -6.889, 8.133]], "species": ["Ho", "Ho", "Ti", "Rh", "Rh", "Rh", "Rh", "As", "As", "As"], "fractional_positions": [[0.500, 0.000, 0.230], [0.000, 0.500, 0.770], [0.500, 0.500, 0.500], [0.000, 0.000, 0.000], [0.500, 0.000, 0.640], [0.500, 0.500, 0.000], [0.000, 0.500, 0.360], [0.000, 0.500, 0.139], [0.500, 0.000, 0.861], [0.000, 0.000, 0.500]]}

(14)
{"formula": "Tb3AuSe", "functional": "PBE", "state": "optimized geometry", "space_group": "Pmmn, No. 59", "total_magnetization_mub_per_fu": 0.0, "dos_at_fermi_per_ev_cell": 6.56, "raw_formation_energy_mev_per_atom": -976, "mass_density_kg_m3": 9304, "lattice_angstrom": [[4.210, 0.000, 0.000], [0.000, 6.971, -0.578], [0.000, 0.756, 9.091]], "species": ["Tb", "Tb", "Tb", "Tb", "Tb", "Tb", "Se", "Se", "Au", "Au"], "fractional_positions": [[0.750, 0.512, 0.684], [0.250, 0.250, 0.944], [0.250, 0.012, 0.316], [0.250, 0.488, 0.316], [0.750, 0.750, 0.056], [0.750, 0.988, 0.684], [0.750, 0.750, 0.412], [0.250, 0.250, 0.588], [0.750, 0.250, 0.162], [0.250, 0.750, 0.838]]}

(15)
{"formula": "Cs2KAsBr", "functional": "PBE", "state": "optimized geometry", "space_group": "P4/mmm, No. 123", "total_magnetization_mub_per_fu": 0.2, "dos_at_fermi_per_ev_cell": 3.26, "raw_formation_energy_mev_per_atom": -288, "mass_density_kg_m3": 2599, "lattice_angstrom": [[-1.946, -1.953, -6.828], [2.925, -4.538, 0.464], [-5.885, -3.519, 2.684]], "species": ["As", "K", "Cs", "Cs", "Br"], "fractional_positions": [[0.000, 0.500, 0.000], [0.000, 0.000, 0.000], [0.500, 0.000, 0.000], [0.000, 0.000, 0.500], [0.500, 0.500, 0.500]]}

(16)
{"formula": "YTcBrO4", "functional": "PBE", "state": "optimized geometry", "space_group": "C2/m, No. 12", "total_magnetization_mub_per_fu": 1.0, "dos_at_fermi_per_ev_cell": 6.22, "raw_formation_energy_mev_per_atom": -1973, "mass_density_kg_m3": 4320, "lattice_angstrom": [[6.387, 0.153, -0.159], [2.260, 5.976, -0.159], [1.589, 1.126, 6.665]], "species": ["O", "O", "O", "O", "O", "O", "O", "O", "Y", "Y", "Tc", "Tc", "Br", "Br"], "fractional_positions": [[0.462, 0.462, 0.788], [0.880, 0.515, 0.856], [0.515, 0.880, 0.856], [0.485, 0.120, 0.144], [0.711, 0.711, 0.467], [0.289, 0.289, 0.533], [0.538, 0.538, 0.212], [0.120, 0.485, 0.144], [0.774, 0.774, 0.105], [0.226, 0.226, 0.895], [0.368, 0.368, 0.280], [0.632, 0.632, 0.720], [0.011, 0.011, 0.245], [0.989, 0.989, 0.755]]}

(17)
{"formula": "Hg3SeBr4", "functional": "PBE", "state": "optimized geometry", "space_group": "Cc, No. 9", "total_magnetization_mub_per_fu": 0.0, "raw_formation_energy_mev_per_atom": -368, "mass_density_kg_m3": 5665, "lattice_angstrom": [[7.017, 0.000, 0.000], [-3.508, 7.048, -3.870], [0.000, -1.112, 12.468]], "species": ["Se", "Se", "Br", "Br", "Br", "Br", "Br", "Br", "Br", "Br", "Hg", "Hg", "Hg", "Hg", "Hg", "Hg"], "fractional_positions": [[0.265, 0.944, 0.210], [0.680, 0.944, 0.710], [0.266, 0.289, 0.917], [0.591, 0.766, 0.335], [0.023, 0.289, 0.417], [0.764, 0.838, 0.034], [0.175, 0.766, 0.835], [0.773, 0.353, 0.156], [0.579, 0.353, 0.656], [0.074, 0.838, 0.534], [0.980, 0.779, 0.300], [0.799, 0.779, 0.800], [0.290, 0.664, 0.583], [0.578, 0.148, 0.414], [0.569, 0.148, 0.914], [0.374, 0.664, 0.083]]}

(18)
{"formula": "CsAg3F8", "functional": "PBE", "state": "optimized geometry", "space_group": "P-3, No. 147", "total_magnetization_mub_per_fu": 4.0, "dos_at_fermi_per_ev_cell": 1.36, "raw_formation_energy_mev_per_atom": -1271, "mass_density_kg_m3": 4469, "lattice_angstrom": [[-2.465, -4.075, 3.331], [2.880, -1.530, -4.810], [6.527, -0.599, 4.098]], "species": ["F", "F", "F", "F", "F", "F", "F", "F", "Ag", "Ag", "Ag", "Cs"], "fractional_positions": [[0.723, 0.066, 0.139], [0.343, 0.277, 0.139], [0.066, 0.343, 0.861], [0.277, 0.934, 0.861], [0.667, 0.333, 0.616], [0.657, 0.723, 0.861], [0.934, 0.657, 0.139], [0.333, 0.667, 0.384], [0.000, 0.000, 0.000], [0.667, 0.333, 0.878], [0.333, 0.667, 0.122], [0.000, 0.000, 0.500]]}

(19)
{"formula": "Mg3Rh2Au", "functional": "PBE", "state": "optimized geometry", "e_above_lowest_polymorph_mev_per_atom": 0, "space_group": "Cmmm, No. 65", "total_magnetization_mub_per_fu": 0.0, "dos_at_fermi_per_ev_cell": 1.36, "formation_energy_kj_per_mol_fu": -332, "mass_density_kg_m3": 8296, "lattice_angstrom": [[-0.119, 1.376, 2.954], [-4.182, 1.211, -0.732], [-0.017, -6.322, 2.944]], "species": ["Rh", "Rh", "Au", "Mg", "Mg", "Mg"], "fractional_positions": [[0.000, 0.337, 0.675], [0.000, 0.663, 0.325], [0.000, 0.000, 0.000], [0.500, 0.500, 0.000], [0.500, 0.174, 0.348], [0.500, 0.826, 0.652]]}

(20)
{"formula": "Ti2MoPdC", "functional": "PBE", "state": "optimized geometry", "space_group": "P4/mmm, No. 123", "total_magnetization_mub_per_fu": 0.0, "dos_at_fermi_per_ev_cell": 2.70, "formation_energy_kj_per_mol_fu": -185, "mass_density_kg_m3": 7173, "lattice_angstrom": [[-3.213, -2.695, -0.351], [1.998, -2.711, 2.524], [-1.775, 1.695, 3.226]], "species": ["Ti", "Ti", "C", "Pd", "Mo"], "fractional_positions": [[0.000, 0.500, 0.000], [0.500, 0.000, 0.000], [0.000, 0.000, 0.000], [0.500, 0.500, 0.500], [0.000, 0.000, 0.500]]}